Entry from the Alexandria database: crystalline CaCrCo at its relaxed geometry (GGA-PBE).

abc: 3.781 3.781 4.780
angles: 90.00 90.00 120.00
Fractional positions:
1 Co 0.333 0.667 0.500
2 Cr 0.667 0.333 0.500
3 Ca 0.000 0.000 0.000

Values from the calculation:
Its formation energy from the elements is 460 meV per atom. As for the total magnetic moment: 0.43 μB/atom. As for the density of states at the Fermi level: 3.461 states/eV/f.u. The value obtained for the energy above the most stable polymorph in this dataset is 0.0 meV/atom. For the total energy, the calculation gives -17.4 eV/f.u. As for the space group: P-6m2. The value obtained for the volume is 59.2 Å³/f.u.